[1]
# Cu5Pd6W GGA-PBE optimized geometry
# volume = 14.075 Å³ per atom
# energy relative to the elements = -83 meV/atom
# SG = No. 65
data_Cu5Pd6W
_space_group_name_H-M_alt 'P 1'
_space_group_IT_number 1
_cell_length_a 6.243
_cell_length_b 6.243
_cell_length_c 7.221
_cell_angle_alpha 90.00
_cell_angle_beta 90.00
_cell_angle_gamma 143.12
loop_
_space_group_symop_operation_xyz
'x,y,z'
loop_
_atom_site_label
_atom_site_type_symbol
_atom_site_fract_x
_atom_site_fract_y
_atom_site_fract_z
_atom_site_occupancy
Cu1 Cu 0.000 0.000 0.000 1
Cu2 Cu 0.334 0.666 0.500 1
Cu3 Cu 0.335 0.665 0.000 1
Cu4 Cu 0.665 0.335 0.000 1
Cu5 Cu 0.666 0.334 0.500 1
Pd1 Pd 0.166 0.834 0.251 1
Pd2 Pd 0.166 0.834 0.749 1
Pd3 Pd 0.500 0.500 0.253 1
Pd4 Pd 0.500 0.500 0.747 1
Pd5 Pd 0.834 0.166 0.251 1
Pd6 Pd 0.834 0.166 0.749 1
W1 W 0.000 0.000 0.500 1


[2]
# Cu4Pd5W GGA-PBE optimized geometry
# volume = 14.119 Å³ per atom
# energy relative to the elements = -88 meV/atom
# SG = No. 123
data_Cu4Pd5W
_space_group_name_H-M_alt 'P 1'
_space_group_IT_number 1
_cell_length_a 2.795
_cell_length_b 2.795
_cell_length_c 18.067
_cell_angle_alpha 90.00
_cell_angle_beta 90.00
_cell_angle_gamma 90.00
loop_
_space_group_symop_operation_xyz
'x,y,z'
loop_
_atom_site_label
_atom_site_type_symbol
_atom_site_fract_x
_atom_site_fract_y
_atom_site_fract_z
_atom_site_occupancy
Cu1 Cu 0.000 0.000 0.098 1
Cu2 Cu 0.000 0.000 0.292 1
Cu3 Cu 0.000 0.000 0.708 1
Cu4 Cu 0.000 0.000 0.902 1
Pd1 Pd 0.500 0.500 0.000 1
Pd2 Pd 0.500 0.500 0.195 1
Pd3 Pd 0.500 0.500 0.393 1
Pd4 Pd 0.500 0.500 0.607 1
Pd5 Pd 0.500 0.500 0.805 1
W1 W 0.000 0.000 0.500 1


[3]
# CuPd2W GGA-PBE optimized geometry
# volume = 14.887 Å³ per atom
# energy relative to the elements = 1 meV/atom
# E above lowest polymorph = 0.061 eV/atom
# SG = No. 160
data_CuPd2W
_space_group_name_H-M_alt 'P 1'
_space_group_IT_number 1
_cell_length_a 8.885
_cell_length_b 8.885
_cell_length_c 8.885
_cell_angle_alpha 18.17
_cell_angle_beta 18.17
_cell_angle_gamma 18.17
loop_
_space_group_symop_operation_xyz
'x,y,z'
loop_
_atom_site_label
_atom_site_type_symbol
_atom_site_fract_x
_atom_site_fract_y
_atom_site_fract_z
_atom_site_occupancy
Cu1 Cu 0.000 0.000 0.000 1
Pd1 Pd 0.415 0.415 0.415 1
Pd2 Pd 0.585 0.585 0.585 1
W1 W 0.166 0.166 0.166 1


[4]
# Cu3PdW GGA-PBE optimized geometry
# volume = 18.882 Å³ per atom
# energy relative to the elements = 1614 meV/atom
# E above lowest polymorph = 0.000 eV/atom
# SG = No. 221
data_Cu3PdW
_space_group_name_H-M_alt 'P 1'
_space_group_IT_number 1
_cell_length_a 4.553
_cell_length_b 4.553
_cell_length_c 4.553
_cell_angle_alpha 90.00
_cell_angle_beta 90.00
_cell_angle_gamma 90.00
loop_
_space_group_symop_operation_xyz
'x,y,z'
loop_
_atom_site_label
_atom_site_type_symbol
_atom_site_fract_x
_atom_site_fract_y
_atom_site_fract_z
_atom_site_occupancy
Cu1 Cu 0.000 0.000 0.500 1
Cu2 Cu 0.000 0.500 0.000 1
Cu3 Cu 0.500 0.000 0.000 1
Pd1 Pd 0.000 0.000 0.000 1
W1 W 0.500 0.500 0.500 1


[5]
# CuPd2W GGA-PBE optimized geometry
# volume = 14.868 Å³ per atom
# energy relative to the elements = 20 meV/atom
# E above lowest polymorph = 0.079 eV/atom
# SG = No. 166
data_CuPd2W
_space_group_name_H-M_alt 'P 1'
_space_group_IT_number 1
_cell_length_a 8.963
_cell_length_b 8.963
_cell_length_c 8.963
_cell_angle_alpha 17.91
_cell_angle_beta 17.91
_cell_angle_gamma 17.91
loop_
_space_group_symop_operation_xyz
'x,y,z'
loop_
_atom_site_label
_atom_site_type_symbol
_atom_site_fract_x
_atom_site_fract_y
_atom_site_fract_z
_atom_site_occupancy
Cu1 Cu 0.000 0.000 0.000 1
Pd1 Pd 0.252 0.252 0.252 1
Pd2 Pd 0.748 0.748 0.748 1
W1 W 0.500 0.500 0.500 1


[6]
# CuPdW3 GGA-PBE optimized geometry
# volume = 17.950 Å³ per atom
# energy relative to the elements = 1792 meV/atom
# E above lowest polymorph = 0.000 eV/atom
# SG = No. 221
data_CuPdW3
_space_group_name_H-M_alt 'P 1'
_space_group_IT_number 1
_cell_length_a 4.477
_cell_length_b 4.477
_cell_length_c 4.477
_cell_angle_alpha 90.00
_cell_angle_beta 90.00
_cell_angle_gamma 90.00
loop_
_space_group_symop_operation_xyz
'x,y,z'
loop_
_atom_site_label
_atom_site_type_symbol
_atom_site_fract_x
_atom_site_fract_y
_atom_site_fract_z
_atom_site_occupancy
Cu1 Cu 0.000 0.000 0.000 1
Pd1 Pd 0.500 0.500 0.500 1
W1 W 0.000 0.000 0.500 1
W2 W 0.000 0.500 0.000 1
W3 W 0.500 0.000 0.000 1


[7]
# Y2CuPd GGA-PBE optimized geometry
# volume = 22.352 Å³ per atom
# energy relative to the elements = -597 meV/atom
# SG = No. 11
data_Y2CuPd
_space_group_name_H-M_alt 'P 1'
_space_group_IT_number 1
_cell_length_a 5.552
_cell_length_b 4.565
_cell_length_c 7.491
_cell_angle_alpha 90.00
_cell_angle_beta 109.64
_cell_angle_gamma 90.00
loop_
_space_group_symop_operation_xyz
'x,y,z'
loop_
_atom_site_label
_atom_site_type_symbol
_atom_site_fract_x
_atom_site_fract_y
_atom_site_fract_z
_atom_site_occupancy
Y1 Y 0.222 0.250 0.430 1
Y2 Y 0.222 0.250 0.932 1
Y3 Y 0.778 0.750 0.068 1
Y4 Y 0.778 0.750 0.570 1
Cu1 Cu 0.344 0.750 0.710 1
Cu2 Cu 0.656 0.250 0.290 1
Pd1 Pd 0.345 0.750 0.213 1
Pd2 Pd 0.655 0.250 0.787 1


[8]
# YCu5Pd7 GGA-PBE optimized geometry
# volume = 15.086 Å³ per atom
# energy relative to the elements = -326 meV/atom
# SG = No. 44
data_YCu5Pd7
_space_group_name_H-M_alt 'P 1'
_space_group_IT_number 1
_cell_length_a 6.735
_cell_length_b 6.735
_cell_length_c 6.735
_cell_angle_alpha 136.22
_cell_angle_beta 98.88
_cell_angle_gamma 97.10
loop_
_space_group_symop_operation_xyz
'x,y,z'
loop_
_atom_site_label
_atom_site_type_symbol
_atom_site_fract_x
_atom_site_fract_y
_atom_site_fract_z
_atom_site_occupancy
Y1 Y 0.000 0.000 0.000 1
Cu1 Cu 0.499 0.495 0.503 1
Cu2 Cu 0.499 0.996 0.004 1
Cu3 Cu 0.765 0.265 0.500 1
Cu4 Cu 0.992 0.495 0.996 1
Cu5 Cu 0.992 0.996 0.497 1
Pd1 Pd 0.195 0.492 0.704 1
Pd2 Pd 0.221 0.721 0.500 1
Pd3 Pd 0.341 0.998 0.344 1
Pd4 Pd 0.345 0.345 0.000 1
Pd5 Pd 0.651 0.651 0.000 1
Pd6 Pd 0.654 0.998 0.656 1
Pd7 Pd 0.788 0.492 0.296 1


[9]
# YCu5Pd GGA-PBE optimized geometry
# volume = 14.831 Å³ per atom
# energy relative to the elements = -274 meV/atom
# SG = No. 62
data_YCu5Pd
_space_group_name_H-M_alt 'P 1'
_space_group_IT_number 1
_cell_length_a 8.153
_cell_length_b 4.959
_cell_length_c 10.271
_cell_angle_alpha 90.00
_cell_angle_beta 90.00
_cell_angle_gamma 90.00
loop_
_space_group_symop_operation_xyz
'x,y,z'
loop_
_atom_site_label
_atom_site_type_symbol
_atom_site_fract_x
_atom_site_fract_y
_atom_site_fract_z
_atom_site_occupancy
Y1 Y 0.240 0.250 0.066 1
Y2 Y 0.260 0.750 0.566 1
Y3 Y 0.740 0.250 0.434 1
Y4 Y 0.760 0.750 0.934 1
Cu1 Cu 0.053 0.750 0.101 1
Cu2 Cu 0.066 0.003 0.311 1
Cu3 Cu 0.066 0.497 0.311 1
Cu4 Cu 0.092 0.250 0.517 1
Cu5 Cu 0.187 0.250 0.748 1
Cu6 Cu 0.313 0.750 0.248 1
Cu7 Cu 0.408 0.750 0.017 1
Cu8 Cu 0.434 0.503 0.811 1
Cu9 Cu 0.434 0.997 0.811 1
Cu10 Cu 0.447 0.250 0.601 1
Cu11 Cu 0.553 0.750 0.399 1
Cu12 Cu 0.566 0.003 0.189 1
Cu13 Cu 0.566 0.497 0.189 1
Cu14 Cu 0.592 0.250 0.983 1
Cu15 Cu 0.687 0.250 0.752 1
Cu16 Cu 0.813 0.750 0.252 1
Cu17 Cu 0.908 0.750 0.483 1
Cu18 Cu 0.934 0.503 0.689 1
Cu19 Cu 0.934 0.997 0.689 1
Cu20 Cu 0.947 0.250 0.899 1
Pd1 Pd 0.140 0.750 0.860 1
Pd2 Pd 0.360 0.250 0.360 1
Pd3 Pd 0.640 0.750 0.640 1
Pd4 Pd 0.860 0.250 0.140 1


[10]
# YCu5Pd6 GGA-PBE optimized geometry
# volume = 14.927 Å³ per atom
# energy relative to the elements = -309 meV/atom
# SG = No. 65
data_YCu5Pd6
_space_group_name_H-M_alt 'P 1'
_space_group_IT_number 1
_cell_length_a 6.440
_cell_length_b 6.440
_cell_length_c 7.138
_cell_angle_alpha 90.00
_cell_angle_beta 90.00
_cell_angle_gamma 142.77
loop_
_space_group_symop_operation_xyz
'x,y,z'
loop_
_atom_site_label
_atom_site_type_symbol
_atom_site_fract_x
_atom_site_fract_y
_atom_site_fract_z
_atom_site_occupancy
Y1 Y 0.000 0.000 0.000 1
Cu1 Cu 0.000 0.000 0.500 1
Cu2 Cu 0.322 0.678 0.000 1
Cu3 Cu 0.336 0.664 0.500 1
Cu4 Cu 0.664 0.336 0.500 1
Cu5 Cu 0.678 0.322 0.000 1
Pd1 Pd 0.171 0.829 0.265 1
Pd2 Pd 0.171 0.829 0.735 1
Pd3 Pd 0.500 0.500 0.268 1
Pd4 Pd 0.500 0.500 0.732 1
Pd5 Pd 0.829 0.171 0.265 1
Pd6 Pd 0.829 0.171 0.735 1


[11]
# YCu3Pd GGA-PBE optimized geometry
# volume = 20.262 Å³ per atom
# energy relative to the elements = 278 meV/atom
# E above lowest polymorph = 0.000 eV/atom
# SG = No. 221
data_YCu3Pd
_space_group_name_H-M_alt 'P 1'
_space_group_IT_number 1
_cell_length_a 4.662
_cell_length_b 4.662
_cell_length_c 4.662
_cell_angle_alpha 90.00
_cell_angle_beta 90.00
_cell_angle_gamma 90.00
loop_
_space_group_symop_operation_xyz
'x,y,z'
loop_
_atom_site_label
_atom_site_type_symbol
_atom_site_fract_x
_atom_site_fract_y
_atom_site_fract_z
_atom_site_occupancy
Y1 Y 0.000 0.000 0.000 1
Cu1 Cu 0.000 0.500 0.500 1
Cu2 Cu 0.500 0.000 0.500 1
Cu3 Cu 0.500 0.500 0.000 1
Pd1 Pd 0.500 0.500 0.500 1


[12]
# Y2CuPd8 GGA-PBE optimized geometry
# volume = 17.284 Å³ per atom
# energy relative to the elements = -498 meV/atom
# SG = No. 12
data_Y2CuPd8
_space_group_name_H-M_alt 'P 1'
_space_group_IT_number 1
_cell_length_a 7.623
_cell_length_b 7.623
_cell_length_c 6.184
_cell_angle_alpha 105.10
_cell_angle_beta 105.10
_cell_angle_gamma 33.34
loop_
_space_group_symop_operation_xyz
'x,y,z'
loop_
_atom_site_label
_atom_site_type_symbol
_atom_site_fract_x
_atom_site_fract_y
_atom_site_fract_z
_atom_site_occupancy
Y1 Y 0.209 0.209 0.172 1
Y2 Y 0.791 0.791 0.828 1
Cu1 Cu 0.500 0.500 0.500 1
Pd1 Pd 0.025 0.025 0.237 1
Pd2 Pd 0.152 0.152 0.677 1
Pd3 Pd 0.346 0.346 0.606 1
Pd4 Pd 0.408 0.408 0.076 1
Pd5 Pd 0.592 0.592 0.924 1
Pd6 Pd 0.654 0.654 0.394 1
Pd7 Pd 0.848 0.848 0.323 1
Pd8 Pd 0.975 0.975 0.763 1


[13]
# YCu2Pd2 GGA-PBE optimized geometry
# volume = 17.561 Å³ per atom
# energy relative to the elements = -412 meV/atom
# E above lowest polymorph = 0.000 eV/atom
# SG = No. 139
data_YCu2Pd2
_space_group_name_H-M_alt 'P 1'
_space_group_IT_number 1
_cell_length_a 6.842
_cell_length_b 6.842
_cell_length_c 6.842
_cell_angle_alpha 148.37
_cell_angle_beta 148.37
_cell_angle_gamma 45.34
loop_
_space_group_symop_operation_xyz
'x,y,z'
loop_
_atom_site_label
_atom_site_type_symbol
_atom_site_fract_x
_atom_site_fract_y
_atom_site_fract_z
_atom_site_occupancy
Y1 Y 0.000 0.000 0.000 1
Cu1 Cu 0.250 0.750 0.500 1
Cu2 Cu 0.750 0.250 0.500 1
Pd1 Pd 0.392 0.392 0.000 1
Pd2 Pd 0.608 0.608 0.000 1


[14]
# Y2CuPd GGA-PBE optimized geometry
# volume = 23.454 Å³ per atom
# energy relative to the elements = 408 meV/atom
# SG = No. 71
data_Y2CuPd
_space_group_name_H-M_alt 'P 1'
_space_group_IT_number 1
_cell_length_a 6.266
_cell_length_b 6.266
_cell_length_c 6.266
_cell_angle_alpha 150.54
_cell_angle_beta 128.60
_cell_angle_gamma 60.36
loop_
_space_group_symop_operation_xyz
'x,y,z'
loop_
_atom_site_label
_atom_site_type_symbol
_atom_site_fract_x
_atom_site_fract_y
_atom_site_fract_z
_atom_site_occupancy
Y1 Y 0.246 0.246 0.000 1
Y2 Y 0.754 0.754 0.000 1
Cu1 Cu 0.500 0.500 0.000 1
Pd1 Pd 0.000 0.000 0.000 1


[15]
# YCu4Pd2 GGA-PBE optimized geometry
# volume = 20.202 Å³ per atom
# energy relative to the elements = 276 meV/atom
# SG = No. 139
data_YCu4Pd2
_space_group_name_H-M_alt 'P 1'
_space_group_IT_number 1
_cell_length_a 5.798
_cell_length_b 5.798
_cell_length_c 5.798
_cell_angle_alpha 102.22
_cell_angle_beta 102.22
_cell_angle_gamma 125.22
loop_
_space_group_symop_operation_xyz
'x,y,z'
loop_
_atom_site_label
_atom_site_type_symbol
_atom_site_fract_x
_atom_site_fract_y
_atom_site_fract_z
_atom_site_occupancy
Y1 Y 0.000 0.000 0.000 1
Cu1 Cu 0.279 0.500 0.779 1
Cu2 Cu 0.500 0.279 0.779 1
Cu3 Cu 0.500 0.721 0.221 1
Cu4 Cu 0.721 0.500 0.221 1
Pd1 Pd 0.250 0.750 0.500 1
Pd2 Pd 0.750 0.250 0.500 1


[16]
# YCuPd2 GGA-PBE optimized geometry
# volume = 19.105 Å³ per atom
# energy relative to the elements = -303 meV/atom
# SG = No. 122
data_YCuPd2
_space_group_name_H-M_alt 'P 1'
_space_group_IT_number 1
_cell_length_a 9.502
_cell_length_b 9.502
_cell_length_c 9.502
_cell_angle_alpha 155.02
_cell_angle_beta 155.02
_cell_angle_gamma 35.62
loop_
_space_group_symop_operation_xyz
'x,y,z'
loop_
_atom_site_label
_atom_site_type_symbol
_atom_site_fract_x
_atom_site_fract_y
_atom_site_fract_z
_atom_site_occupancy
Y1 Y 0.000 0.000 0.000 1
Y2 Y 0.750 0.250 0.500 1
Cu1 Cu 0.250 0.750 0.500 1
Cu2 Cu 0.500 0.500 0.000 1
Pd1 Pd 0.159 0.625 0.034 1
Pd2 Pd 0.375 0.409 0.534 1
Pd3 Pd 0.591 0.125 0.966 1
Pd4 Pd 0.875 0.841 0.466 1


[17]
# Y2Cu2Pd GGA-PBE optimized geometry
# volume = 21.342 Å³ per atom
# energy relative to the elements = -138 meV/atom
# E above lowest polymorph = 0.330 eV/atom
# SG = No. 127
data_Y2Cu2Pd
_space_group_name_H-M_alt 'P 1'
_space_group_IT_number 1
_cell_length_a 7.788
_cell_length_b 7.788
_cell_length_c 3.518
_cell_angle_alpha 90.00
_cell_angle_beta 90.00
_cell_angle_gamma 90.00
loop_
_space_group_symop_operation_xyz
'x,y,z'
loop_
_atom_site_label
_atom_site_type_symbol
_atom_site_fract_x
_atom_site_fract_y
_atom_site_fract_z
_atom_site_occupancy
Y1 Y 0.174 0.326 0.000 1
Y2 Y 0.326 0.826 0.000 1
Y3 Y 0.674 0.174 0.000 1
Y4 Y 0.826 0.674 0.000 1
Cu1 Cu 0.116 0.616 0.500 1
Cu2 Cu 0.384 0.116 0.500 1
Cu3 Cu 0.616 0.884 0.500 1
Cu4 Cu 0.884 0.384 0.500 1
Pd1 Pd 0.000 0.000 0.000 1
Pd2 Pd 0.500 0.500 0.000 1


[18]
# Y3Cu2Pd3 GGA-PBE optimized geometry
# volume = 20.106 Å³ per atom
# energy relative to the elements = -652 meV/atom
# SG = No. 63
data_Y3Cu2Pd3
_space_group_name_H-M_alt 'P 1'
_space_group_IT_number 1
_cell_length_a 5.558
_cell_length_b 5.558
_cell_length_c 15.153
_cell_angle_alpha 90.00
_cell_angle_beta 90.00
_cell_angle_gamma 136.58
loop_
_space_group_symop_operation_xyz
'x,y,z'
loop_
_atom_site_label
_atom_site_type_symbol
_atom_site_fract_x
_atom_site_fract_y
_atom_site_fract_z
_atom_site_occupancy
Y1 Y 0.074 0.926 0.604 1
Y2 Y 0.074 0.926 0.896 1
Y3 Y 0.349 0.651 0.750 1
Y4 Y 0.651 0.349 0.250 1
Y5 Y 0.926 0.074 0.104 1
Y6 Y 0.926 0.074 0.396 1
Cu1 Cu 0.220 0.780 0.111 1
Cu2 Cu 0.220 0.780 0.389 1
Cu3 Cu 0.780 0.220 0.611 1
Cu4 Cu 0.780 0.220 0.889 1
Pd1 Pd 0.370 0.630 0.250 1
Pd2 Pd 0.374 0.626 0.537 1
Pd3 Pd 0.374 0.626 0.963 1
Pd4 Pd 0.626 0.374 0.037 1
Pd5 Pd 0.626 0.374 0.463 1
Pd6 Pd 0.630 0.370 0.750 1


[19]
# Y3CuPd GGA-PBE optimized geometry
# volume = 31.229 Å³ per atom
# energy relative to the elements = 108 meV/atom
# E above lowest polymorph = 0.000 eV/atom
# SG = No. 221
data_Y3CuPd
_space_group_name_H-M_alt 'P 1'
_space_group_IT_number 1
_cell_length_a 5.385
_cell_length_b 5.385
_cell_length_c 5.385
_cell_angle_alpha 90.00
_cell_angle_beta 90.00
_cell_angle_gamma 90.00
loop_
_space_group_symop_operation_xyz
'x,y,z'
loop_
_atom_site_label
_atom_site_type_symbol
_atom_site_fract_x
_atom_site_fract_y
_atom_site_fract_z
_atom_site_occupancy
Y1 Y 0.000 0.000 0.500 1
Y2 Y 0.000 0.500 0.000 1
Y3 Y 0.500 0.000 0.000 1
Cu1 Cu 0.500 0.500 0.500 1
Pd1 Pd 0.000 0.000 0.000 1


[20]
# Y2Cu2Pd GGA-PBE optimized geometry
# volume = 19.936 Å³ per atom
# energy relative to the elements = -420 meV/atom
# E above lowest polymorph = 0.047 eV/atom
# SG = No. 127
data_Y2Cu2Pd
_space_group_name_H-M_alt 'P 1'
_space_group_IT_number 1
_cell_length_a 7.173
_cell_length_b 7.173
_cell_length_c 3.875
_cell_angle_alpha 90.00
_cell_angle_beta 90.00
_cell_angle_gamma 90.00
loop_
_space_group_symop_operation_xyz
'x,y,z'
loop_
_atom_site_label
_atom_site_type_symbol
_atom_site_fract_x
_atom_site_fract_y
_atom_site_fract_z
_atom_site_occupancy
Y1 Y 0.180 0.320 0.000 1
Y2 Y 0.320 0.820 0.000 1
Y3 Y 0.680 0.180 0.000 1
Y4 Y 0.820 0.680 0.000 1
Cu1 Cu 0.121 0.621 0.500 1
Cu2 Cu 0.379 0.121 0.500 1
Cu3 Cu 0.621 0.879 0.500 1
Cu4 Cu 0.879 0.379 0.500 1
Pd1 Pd 0.000 0.000 0.500 1
Pd2 Pd 0.500 0.500 0.500 1